Model P:
{"formula": "InCuW", "functional": "PBE-GGA", "state": "optimized geometry", "lattice": [[-1.392, 1.233, -2.235], [-0.273, -2.853, 0.486], [-5.451, 1.214, 4.064]], "species": ["Cu", "W", "In"], "fractional_positions": [[0.000, 0.000, 0.990], [0.333, 0.667, 0.684], [0.667, 0.333, 0.326]], "rho_g_cm3": 11.9, "crystal_system": "trigonal"}

Model Q:
{"formula": "InCuW", "functional": "PBE-GGA", "state": "optimized geometry", "lattice": [[4.420, 0.000, 0.000], [2.210, 3.828, 0.000], [2.210, 1.276, 3.609]], "species": ["In", "W", "Cu"], "fractional_positions": [[0.500, 0.500, 0.500], [0.750, 0.750, 0.750], [0.000, 0.000, 0.000]], "rho_g_cm3": 9.8, "crystal_system": "cubic"}

Model R:
{"formula": "InCuW", "functional": "PBE-GGA", "state": "optimized geometry", "lattice": [[6.448, -0.019, 0.020], [5.830, 2.755, 0.014], [0.618, 0.145, 2.770]], "species": ["W", "Cu", "In"], "fractional_positions": [[0.655, 0.655, 0.345], [0.006, 0.006, 0.994], [0.339, 0.339, 0.661]], "rho_g_cm3": 12.2, "crystal_system": "tetragonal"}

Model S:
{"formula": "InCuW", "functional": "PBE-GGA", "state": "optimized geometry", "lattice": [[-1.276, 3.915, 1.779], [-2.426, -1.873, -3.275], [-1.549, -1.387, 1.941]], "species": ["Cu", "In", "W"], "fractional_positions": [[0.000, 0.000, 0.166], [0.667, 0.333, 0.167], [0.333, 0.667, 0.667]], "rho_g_cm3": 12.1, "crystal_system": "hexagonal"}

Stability, lowest: model Q

Model P:
{"formula": "Y4InCu", "functional": "PBE-GGA", "state": "optimized geometry", "lattice": [[-1.481, 5.552, 2.605], [-4.397, -1.782, -7.869], [-1.746, -4.658, 5.877]], "species": ["Y", "Y", "Y", "Y", "Y", "Y", "Y", "Y", "Cu", "Cu", "In", "In"], "fractional_positions": [[0.606, 0.058, 0.337], [0.783, 0.383, 0.181], [0.898, 0.798, 0.181], [0.768, 0.721, 0.663], [0.102, 0.202, 0.819], [0.217, 0.617, 0.819], [0.394, 0.942, 0.663], [0.232, 0.279, 0.337], [0.250, 0.000, 0.000], [0.750, 0.000, 0.000], [0.627, 0.377, 0.754], [0.373, 0.623, 0.246]], "rho_g_cm3": 5.3, "crystal_system": "monoclinic"}

Model Q:
{"formula": "Y4InCu", "functional": "PBE-GGA", "state": "optimized geometry", "lattice": [[0.000, 4.423, 4.423], [4.423, 0.000, 4.423], [4.423, 4.423, 0.000]], "species": ["Y", "Y", "Y", "Y", "In", "Cu"], "fractional_positions": [[0.374, 0.374, 0.877], [0.877, 0.374, 0.374], [0.374, 0.374, 0.374], [0.374, 0.877, 0.374], [0.000, 0.000, 0.000], [0.750, 0.750, 0.750]], "rho_g_cm3": 5.1, "crystal_system": "cubic"}

Model R:
{"formula": "Y4InCu", "functional": "PBE-GGA", "state": "optimized geometry", "lattice": [[4.916, 0.000, -2.147], [0.000, 7.094, 0.000], [-0.161, 0.000, 9.427]], "species": ["In", "In", "Y", "Y", "Y", "Y", "Y", "Y", "Y", "Y", "Cu", "Cu"], "fractional_positions": [[0.689, 0.750, 0.918], [0.311, 0.250, 0.082], [0.596, 0.250, 0.451], [0.404, 0.750, 0.549], [0.659, 0.250, 0.872], [0.077, 0.984, 0.756], [0.077, 0.516, 0.756], [0.923, 0.016, 0.244], [0.341, 0.750, 0.128], [0.923, 0.484, 0.244], [0.817, 0.750, 0.449], [0.183, 0.250, 0.551]], "rho_g_cm3": 5.4, "crystal_system": "monoclinic"}

Stability, lowest: model Q

Model P:
{"formula": "Zn2InCu8", "functional": "PBE-GGA", "state": "optimized geometry", "lattice": [[0.207, -0.027, -3.759], [4.121, -4.296, 0.258], [-6.050, -3.153, 1.575]], "species": ["Cu", "Cu", "Cu", "Cu", "Cu", "Cu", "Cu", "Cu", "Zn", "Zn", "In"], "fractional_positions": [[0.143, 0.195, 0.287], [0.954, 0.285, 0.908], [0.685, 0.913, 0.370], [0.857, 0.805, 0.713], [0.315, 0.087, 0.630], [0.593, 0.466, 0.185], [0.407, 0.534, 0.815], [0.046, 0.715, 0.092], [0.224, 0.644, 0.449], [0.776, 0.356, 0.551], [0.500, 0.000, 0.000]], "rho_g_cm3": 8.6, "crystal_system": "monoclinic"}

Model Q:
{"formula": "Zn2InCu8", "functional": "PBE-GGA", "state": "optimized geometry", "lattice": [[4.332, -0.606, -0.910], [-1.551, 7.134, -1.065], [-1.551, -3.731, 6.173]], "species": ["Zn", "Zn", "Cu", "Cu", "Cu", "Cu", "Cu", "Cu", "Cu", "Cu", "In"], "fractional_positions": [[0.000, 0.315, 0.685], [0.000, 0.685, 0.315], [0.500, 0.799, 0.201], [0.758, 0.506, 0.506], [0.500, 0.201, 0.799], [0.242, 0.494, 0.494], [0.759, 0.624, 0.899], [0.241, 0.376, 0.101], [0.241, 0.101, 0.376], [0.759, 0.899, 0.624], [0.500, 0.000, 0.000]], "rho_g_cm3": 8.3, "crystal_system": "monoclinic"}

Stability, lowest: model Q

Model P:
{"formula": "ZnInCu6", "functional": "PBE-GGA", "state": "optimized geometry", "lattice": [[4.326, 0.000, 0.000], [0.000, 5.272, -0.009], [0.000, -2.342, 4.723]], "species": ["Cu", "Cu", "Cu", "Cu", "Cu", "Cu", "Zn", "In"], "fractional_positions": [[0.500, 0.910, 0.090], [0.000, 0.594, 0.406], [0.500, 0.906, 0.584], [0.000, 0.605, 0.932], [0.500, 0.416, 0.094], [0.000, 0.068, 0.395], [0.000, 0.092, 0.908], [0.500, 0.408, 0.592]], "rho_g_cm3": 8.7, "crystal_system": "orthorhombic"}

Model Q:
{"formula": "ZnInCu6", "functional": "PBE-GGA", "state": "optimized geometry", "lattice": [[4.327, 0.000, 0.000], [0.000, 4.696, 0.000], [0.000, 0.000, 5.284]], "species": ["Cu", "Cu", "Cu", "Cu", "Cu", "Cu", "Zn", "In"], "fractional_positions": [[0.000, 0.160, 0.740], [0.500, 0.849, 0.739], [0.500, 0.310, 0.000], [0.000, 0.160, 0.260], [0.500, 0.849, 0.261], [0.000, 0.666, 0.500], [0.500, 0.347, 0.500], [0.000, 0.659, 0.000]], "rho_g_cm3": 8.7, "crystal_system": "orthorhombic"}

Stability, lowest: model P

Model P:
{"formula": "ZnInCu3", "functional": "PBE-GGA", "state": "optimized geometry", "lattice": [[4.799, 0.000, 0.000], [0.000, 6.177, -0.001], [0.000, -3.088, 5.350]], "species": ["Zn", "Zn", "In", "In", "Cu", "Cu", "Cu", "Cu", "Cu", "Cu"], "fractional_positions": [[0.000, 0.000, 0.000], [0.500, 0.000, 0.000], [0.250, 0.334, 0.666], [0.750, 0.666, 0.334], [0.250, 0.800, 0.600], [0.750, 0.600, 0.800], [0.250, 0.400, 0.200], [0.750, 0.200, 0.800], [0.750, 0.200, 0.400], [0.250, 0.800, 0.200]], "rho_g_cm3": 7.8, "crystal_system": "hexagonal"}

Model Q:
{"formula": "ZnInCu3", "functional": "PBE-GGA", "state": "optimized geometry", "lattice": [[4.512, 0.000, 0.000], [0.000, 4.512, 0.000], [0.000, 0.000, 4.512]], "species": ["In", "Cu", "Cu", "Cu", "Zn"], "fractional_positions": [[0.500, 0.500, 0.500], [0.000, 0.000, 0.500], [0.000, 0.500, 0.000], [0.500, 0.000, 0.000], [0.000, 0.000, 0.000]], "rho_g_cm3": 6.7, "crystal_system": "cubic"}

Model R:
{"formula": "ZnInCu3", "functional": "PBE-GGA", "state": "optimized geometry", "lattice": [[-4.068, 2.361, -1.190], [0.743, -1.075, -4.673], [-2.538, -4.100, 0.540]], "species": ["Cu", "Cu", "Cu", "Zn", "In"], "fractional_positions": [[0.500, 0.000, 0.000], [0.000, 0.000, 0.500], [0.000, 0.500, 0.000], [0.500, 0.500, 0.500], [0.000, 0.000, 0.000]], "rho_g_cm3": 5.4, "crystal_system": "cubic"}

Stability, lowest: model R

Model P:
{"formula": "ZnIn3Cu", "functional": "PBE-GGA", "state": "optimized geometry", "lattice": [[-0.234, -2.460, -4.564], [-1.770, -4.256, 2.385], [-4.873, 1.664, -0.647]], "species": ["Cu", "In", "In", "In", "Zn"], "fractional_positions": [[0.500, 0.500, 0.500], [0.000, 0.500, 0.000], [0.500, 0.000, 0.000], [0.000, 0.000, 0.500], [0.000, 0.000, 0.000]], "rho_g_cm3": 5.6, "crystal_system": "cubic"}

Model Q:
{"formula": "ZnIn3Cu", "functional": "PBE-GGA", "state": "optimized geometry", "lattice": [[5.086, 0.000, 0.000], [0.000, 5.086, 0.000], [0.000, 0.000, 5.086]], "species": ["In", "In", "In", "Zn", "Cu"], "fractional_positions": [[0.500, 0.000, 0.000], [0.000, 0.000, 0.500], [0.000, 0.500, 0.000], [0.500, 0.500, 0.500], [0.000, 0.000, 0.000]], "rho_g_cm3": 6.0, "crystal_system": "cubic"}

Stability, lowest: model P

Model P:
{"formula": "ZnIn2Cu2", "functional": "PBE-GGA", "state": "optimized geometry", "lattice": [[-0.695, -3.037, 1.330], [3.177, -0.222, 1.153], [-1.078, 2.006, 8.331]], "species": ["In", "In", "Cu", "Cu", "Zn"], "fractional_positions": [[0.387, 0.387, 0.227], [0.613, 0.613, 0.773], [0.750, 0.250, 0.500], [0.250, 0.750, 0.500], [0.000, 0.000, 0.000]], "rho_g_cm3": 7.4, "crystal_system": "tetragonal"}

Model Q:
{"formula": "ZnIn2Cu2", "functional": "PBE-GGA", "state": "optimized geometry", "lattice": [[6.677, 0.000, 0.000], [0.000, 6.677, 0.000], [0.000, 0.000, 4.030]], "species": ["Cu", "Cu", "Cu", "Cu", "In", "In", "In", "In", "Zn", "Zn"], "fractional_positions": [[0.365, 0.865, 0.000], [0.635, 0.135, 0.000], [0.865, 0.635, 0.000], [0.135, 0.365, 0.000], [0.169, 0.669, 0.500], [0.669, 0.831, 0.500], [0.331, 0.169, 0.500], [0.831, 0.331, 0.500], [0.000, 0.000, 0.000], [0.500, 0.500, 0.000]], "rho_g_cm3": 7.8, "crystal_system": "tetragonal"}

Stability, lowest: model P

Model P:
{"formula": "ZnIn2Cu2", "functional": "PBE-GGA", "state": "optimized geometry", "lattice": [[-1.690, 3.589, 1.628], [-3.638, -2.103, 0.859], [-0.684, -0.617, 6.299]], "species": ["Cu", "Cu", "Zn", "In", "In"], "fractional_positions": [[0.604, 0.604, 0.792], [0.396, 0.396, 0.208], [0.000, 0.000, 0.000], [0.750, 0.250, 0.500], [0.250, 0.750, 0.500]], "rho_g_cm3": 6.8, "crystal_system": "tetragonal"}

Model Q:
{"formula": "ZnIn2Cu2", "functional": "PBE-GGA", "state": "optimized geometry", "lattice": [[-1.417, 3.890, 6.755], [5.766, -4.097, 3.568], [1.960, 2.075, -0.784]], "species": ["Cu", "Cu", "Cu", "Cu", "In", "In", "In", "In", "Zn", "Zn"], "fractional_positions": [[0.613, 0.887, 0.500], [0.113, 0.613, 0.500], [0.887, 0.387, 0.500], [0.387, 0.113, 0.500], [0.682, 0.182, 0.000], [0.818, 0.682, 0.000], [0.182, 0.318, 0.000], [0.318, 0.818, 0.000], [0.500, 0.500, 0.000], [0.000, 0.000, 0.000]], "rho_g_cm3": 7.5, "crystal_system": "tetragonal"}

Stability, lowest: model P

Model P:
{"formula": "Zr2In2Cu", "functional": "PBE-GGA", "state": "optimized geometry", "lattice": [[6.829, 0.000, 0.000], [0.000, 6.829, 0.000], [0.000, 0.000, 4.573]], "species": ["In", "In", "In", "In", "Zr", "Zr", "Zr", "Zr", "Cu", "Cu"], "fractional_positions": [[0.146, 0.354, 0.000], [0.854, 0.646, 0.000], [0.646, 0.146, 0.000], [0.354, 0.854, 0.000], [0.336, 0.164, 0.500], [0.164, 0.664, 0.500], [0.836, 0.336, 0.500], [0.664, 0.836, 0.500], [0.000, 0.000, 0.000], [0.500, 0.500, 0.000]], "rho_g_cm3": 7.4, "crystal_system": "tetragonal"}

Model Q:
{"formula": "Zr2In2Cu", "functional": "PBE-GGA", "state": "optimized geometry", "lattice": [[7.001, 0.000, 0.000], [0.000, 7.001, 0.000], [0.000, 0.000, 4.664]], "species": ["Zr", "Zr", "Zr", "Zr", "Cu", "Cu", "In", "In", "In", "In"], "fractional_positions": [[0.346, 0.846, 0.000], [0.154, 0.346, 0.000], [0.654, 0.154, 0.000], [0.846, 0.654, 0.000], [0.500, 0.500, 0.000], [0.000, 0.000, 0.000], [0.156, 0.656, 0.500], [0.656, 0.844, 0.500], [0.344, 0.156, 0.500], [0.844, 0.344, 0.500]], "rho_g_cm3": 6.9, "crystal_system": "tetragonal"}

Stability, lowest: model Q

Model P:
{"formula": "ZrIn3Cu8", "functional": "PBE-GGA", "state": "optimized geometry", "lattice": [[-0.922, 4.673, -1.575], [-1.988, -1.633, 4.307], [6.756, 2.733, 4.155]], "species": ["Cu", "Cu", "Cu", "Cu", "Cu", "Cu", "Cu", "Cu", "Zr", "In", "In", "In"], "fractional_positions": [[0.500, 0.500, 0.749], [0.333, 0.667, 0.003], [0.333, 0.667, 0.497], [0.500, 0.001, 0.749], [0.672, 0.836, 0.251], [0.164, 0.328, 0.251], [0.999, 0.500, 0.749], [0.164, 0.836, 0.251], [0.000, 0.000, 0.566], [0.667, 0.333, 0.439], [0.667, 0.333, 0.063], [0.000, 0.000, 0.931]], "rho_g_cm3": 8.6, "crystal_system": "trigonal"}

Model Q:
{"formula": "ZrIn3Cu8", "functional": "PBE-GGA", "state": "optimized geometry", "lattice": [[4.816, 0.000, 1.454], [2.189, 4.290, 1.454], [-0.028, -0.017, 8.797]], "species": ["Zr", "Cu", "Cu", "Cu", "Cu", "Cu", "Cu", "Cu", "Cu", "In", "In", "In"], "fractional_positions": [[0.875, 0.875, 0.376], [0.937, 0.937, 0.687], [0.937, 0.438, 0.687], [0.437, 0.437, 0.188], [0.937, 0.437, 0.188], [0.437, 0.937, 0.188], [0.687, 0.687, 0.938], [0.438, 0.937, 0.687], [0.188, 0.188, 0.437], [0.999, 0.999, 0.004], [0.376, 0.376, 0.871], [0.500, 0.500, 0.499]], "rho_g_cm3": 8.6, "crystal_system": "trigonal"}

Stability, lowest: model P